1.
Below is a relaxed structure of AcPaSn2, with properties calculated at the GGA-PBE level.

Properties
DFT formation energy	-332	meV/atom
space group	No. 123
calculated volume	117	Å³ per cell

Lattice parameters (Å, degrees): 3.582 3.582 9.109 90.00 90.00 90.00
Each line ends with the local moment (μB).
Sites, in units of the cell vectors:
Pa 0.500 0.500 0.000  0.70
Ac 0.500 0.500 0.500  0.00
Sn 0.000 0.000 0.768  -0.01
Sn 0.000 0.000 0.232  -0.01

***

2.
Below is a relaxed structure of Ac3PaSn5, with properties calculated at the GGA-PBE level.

Properties
DFT formation energy	-519	meV/atom
space group	No. 193
calculated volume	574	Å³ per cell

Lattice parameters (Å, degrees): 6.623 10.000 10.000 120.00 90.00 90.00
Sites, in units of the cell vectors:
Sn 0.500 0.333 0.667
Sn 0.250 0.272 0.000
Sn 0.000 0.333 0.667
Sn 0.250 0.728 0.728
Sn 0.750 0.000 0.728
Sn 0.750 0.728 0.000
Sn 0.000 0.667 0.333
Sn 0.750 0.272 0.272
Sn 0.250 0.000 0.272
Sn 0.500 0.667 0.333
Ac 0.750 0.617 0.617
Ac 0.250 0.000 0.617
Ac 0.750 0.000 0.383
Ac 0.750 0.383 0.000
Ac 0.250 0.383 0.383
Ac 0.250 0.617 0.000
Pa 0.500 0.000 0.000
Pa 0.000 0.000 0.000

***

3.
Below is a relaxed structure of AcPaSn2, with properties calculated at the GGA-PBE level.

Properties
DFT formation energy	-157	meV/atom
space group	No. 166
calculated volume	117	Å³ per cell

Lattice parameters (Å, degrees): 3.495 3.495 11.268 81.08 81.08 60.00
Sites, in units of the cell vectors:
Sn 0.746 0.746 0.762
Sn 0.254 0.254 0.238
Ac 0.500 0.500 0.500
Pa 0.000 0.000 0.000

***

4.
Below is a relaxed structure of AcTb2Pa, with properties calculated at the GGA-PBE level.

Properties
DFT formation energy	251	meV/atom
space group	No. 166
calculated volume	133	Å³ per cell

Lattice parameters (Å, degrees): 3.512 3.512 12.575 81.97 81.97 60.00
Sites, in units of the cell vectors:
Tb 0.595 0.595 0.215
Tb 0.405 0.405 0.785
Ac 0.500 0.500 0.500
Pa 0.000 0.000 0.000